Record 1
The following is a DFT calculation (SCAN) of a crystal of Ca3Al relaxed with PBEsol.

```
8
Lattice="7.1529 0.0000 0.0000 -3.5764 6.1946 0.0000 0.0000 0.0000 5.5048" Properties=species:S:1:pos:R:3 pbc="T T T"
Ca 0.0000 2.1783 1.3762
Ca -1.6900 5.1055 1.3762
Ca 1.8864 1.0891 4.1286
Ca 1.6900 5.1055 1.3762
Ca 5.2665 1.0891 4.1286
Ca 3.5764 4.0163 4.1286
Al 0.0000 4.1297 4.1286
Al 3.5765 2.0649 1.3762
```

Computed properties:
VASP energy	-74.07	eV for the cell shown
DFT formation energy	-0.07	eV per atom
theoretical density	2004	kg/m3
size of the total moment	0.0	μB/f.u.


Record 2
The following is a DFT calculation (SCAN) of a crystal of CaAl relaxed with PBEsol.

```
6
Lattice="-2.1150 6.0085 3.1932 2.1150 -6.0085 3.1932 2.1150 6.0085 -3.1932" Properties=species:S:1:pos:R:3 pbc="T T T"
Ca 0.0000 0.0000 0.0000
Ca 0.0000 3.5879 1.5779
Ca 0.0000 8.4291 1.5779
Al 2.1150 -1.3062 1.8226
Al 2.1150 1.3062 1.8226
Al 0.0000 0.0000 3.1529
```

Computed properties:
VASP energy	-53.26	eV for the cell shown
DFT formation energy	-0.17	eV per atom
theoretical density	2058	kg/m3
size of the total moment	0.0	μB/f.u.


Record 3
The following is a DFT calculation (SCAN) of a crystal of Ca2Al relaxed with PBEsol.

```
3
Lattice="-1.8287 1.8287 6.6787 1.8287 -1.8287 6.6787 1.8287 1.8287 -6.6787" Properties=species:S:1:pos:R:3 pbc="T T T"
Ca 0.0000 0.0000 1.8589
Ca 0.0000 0.0000 11.4984
Al 0.0000 0.0000 6.6787
```

Computed properties:
VASP energy	-27.48	eV for the cell shown
DFT formation energy	-0.13	eV per atom
theoretical density	1991	kg/m3
size of the total moment	0.0	μB/f.u.


Record 4
The following is a DFT calculation (SCAN) of a crystal of Ca8Al3 relaxed with PBEsol.

```
22
Lattice="9.4383 0.0000 0.0000 -4.6992 8.2728 0.0000 -1.8135 -2.7268 9.0127" Properties=species:S:1:pos:R:3 pbc="T T T"
Ca -0.9269 1.2488 1.3577
Ca -2.0111 -0.4144 7.1943
Ca -2.0578 4.0762 3.5194
Ca -3.8973 6.5948 5.4879
Ca -1.9198 3.2189 7.2103
Ca -0.9377 7.0557 1.3462
Ca 1.9816 1.1634 3.5454
Ca 1.3852 4.1760 1.5254
Ca 1.5404 1.3700 7.4873
Ca 0.9439 4.3825 5.4673
Ca 3.8632 -1.5098 7.6665
Ca 4.8454 2.3270 1.8024
Ca 6.8228 -1.0488 3.5248
Ca 4.9834 1.4698 5.4933
Ca 4.9366 5.9604 1.8184
Ca 3.8525 4.2972 7.6550
Al -2.3496 4.1364 0.0000
Al -0.8969 1.3782 4.7487
Al 2.3242 1.3476 0.0018
Al 3.8124 -1.3634 4.5064
Al 0.6014 4.1984 9.0109
Al 3.8225 4.1677 4.2640
```

Computed properties:
VASP energy	-204.78	eV for the cell shown
DFT formation energy	-0.17	eV per atom
theoretical density	1895	kg/m3
size of the total moment	0.0	μB/f.u.


Record 5
The following is a DFT calculation (SCAN) of a crystal of Ca3Al relaxed with PBEsol.

```
16
Lattice="8.7744 0.0000 0.0000 0.0000 9.8729 0.0000 0.0000 0.0000 6.4678" Properties=species:S:1:pos:R:3 pbc="T T T"
Ca 0.2767 2.4682 0.6696
Ca 1.5043 0.5977 4.0943
Ca 1.5043 4.3388 4.0943
Ca 2.8829 5.5341 0.8604
Ca 2.8829 9.2752 0.8604
Ca 4.1105 7.4047 3.9035
Ca 4.6639 2.4682 2.5643
Ca 5.8915 0.5977 5.6073
Ca 5.8915 4.3388 5.6073
Ca 7.2701 5.5341 2.3734
Ca 7.2701 9.2752 2.3734
Ca 8.4977 7.4047 5.7982
Al 1.0748 7.4047 2.8575
Al 3.3124 2.4682 6.0914
Al 5.4620 7.4047 0.3764
Al 7.6996 2.4682 3.6102
```

Computed properties:
VASP energy	-148.81	eV for the cell shown
DFT formation energy	-0.12	eV per atom
theoretical density	1745	kg/m3
size of the total moment	0.3	μB/f.u.


Record 6
The following is a DFT calculation (SCAN) of a crystal of CaAl5 relaxed with PBEsol.

```
6
Lattice="5.8917 -1.5648 0.0000 5.8917 1.5648 0.0000 -1.6503 0.0000 6.2484" Properties=species:S:1:pos:R:3 pbc="T T T"
Ca 0.0000 0.0000 0.0000
Al -0.8251 0.0000 3.1242
Al 3.3172 0.0000 1.1345
Al 2.9229 0.0000 3.9125
Al 7.2102 0.0000 2.3358
Al 6.8159 0.0000 5.1139
```

Computed properties:
VASP energy	-48.29	eV for the cell shown
DFT formation energy	0.02	eV per atom
theoretical density	2522	kg/m3
size of the total moment	0.0	μB/f.u.


Record 7
The following is a DFT calculation (SCAN) of a crystal of Ca3Al relaxed with PBEsol.

```
4
Lattice="3.6969 0.0000 0.0000 0.0000 3.6969 0.0000 0.0000 0.0000 9.4957" Properties=species:S:1:pos:R:3 pbc="T T T"
Ca 0.0000 0.0000 0.0000
Ca 1.8485 1.8485 2.9106
Ca 1.8485 1.8485 6.5851
Al 0.0000 0.0000 4.7479
```

Computed properties:
VASP energy	-37.09	eV for the cell shown
DFT formation energy	-0.09	eV per atom
theoretical density	1884	kg/m3
size of the total moment	0.1	μB/f.u.


Record 8
The following is a DFT calculation (SCAN) of a crystal of CaAl3 relaxed with PBEsol.

```
8
Lattice="4.3741 0.0000 0.0000 0.0000 5.8637 0.0000 0.0000 0.0000 6.5057" Properties=species:S:1:pos:R:3 pbc="T T T"
Ca 1.0935 1.4659 0.5715
Ca 3.2806 4.3978 5.9342
Al 1.0935 2.9778 4.1198
Al 1.0935 4.3978 1.7500
Al 1.0935 5.8179 4.1198
Al 3.2806 0.0459 2.3859
Al 3.2806 1.4659 4.7556
Al 3.2806 2.8860 2.3859
```

Computed properties:
VASP energy	-67.44	eV for the cell shown
DFT formation energy	-0.20	eV per atom
theoretical density	2409	kg/m3
size of the total moment	0.0	μB/f.u.


Record 9
The following is a DFT calculation (SCAN) of a crystal of CaAl5 relaxed with PBEsol.

```
6
Lattice="5.5410 0.0000 0.0000 -2.7705 4.7986 0.0000 0.0000 0.0000 4.4130" Properties=species:S:1:pos:R:3 pbc="T T T"
Ca 0.0000 0.0000 0.0000
Al -1.3852 2.3993 2.2065
Al 0.0000 3.1991 0.0000
Al 2.7705 0.0000 2.2065
Al 1.3852 2.3993 2.2065
Al 2.7705 1.5995 0.0000
```

Computed properties:
VASP energy	-49.10	eV for the cell shown
DFT formation energy	-0.11	eV per atom
theoretical density	2476	kg/m3
size of the total moment	0.1	μB/f.u.


Record 10
The following is a DFT calculation (SCAN) of a crystal of Ca6Al7 relaxed with PBEsol.

```
13
Lattice="2.8817 1.6637 10.7659 -2.8817 1.6637 10.7659 0.0000 -3.3274 10.7659" Properties=species:S:1:pos:R:3 pbc="T T T"
Ca 0.0000 0.0000 1.7215
Ca 0.0000 0.0000 4.8908
Ca 0.0000 0.0000 10.8732
Ca 0.0000 0.0000 21.4245
Ca 0.0000 0.0000 27.4069
Ca 0.0000 0.0000 30.5762
Al -1.4471 -0.8355 13.8350
Al 0.0000 -1.6710 18.4627
Al -1.4471 0.8355 18.4627
Al 0.0000 0.0000 16.1489
Al 1.4471 -0.8355 13.8350
Al 0.0000 1.6710 13.8350
Al 1.4471 0.8355 18.4628
```

Computed properties:
VASP energy	-114.74	eV for the cell shown
DFT formation energy	-0.19	eV per atom
theoretical density	2302	kg/m3
size of the total moment	0.2	μB/f.u.


Record 11
The following is a DFT calculation (SCAN) of a crystal of Ca3Al relaxed with PBEsol.

```
8
Lattice="-2.6166 2.6166 8.8051 2.6166 -2.6166 8.8051 2.6166 2.6166 -8.8051" Properties=species:S:1:pos:R:3 pbc="T T T"
Ca 2.6166 0.0000 0.0000
Ca 0.0000 0.0000 2.2284
Ca 2.6166 0.0000 4.4025
Ca 0.0000 2.6166 0.0000
Ca 0.0000 2.6166 4.4025
Ca 0.0000 0.0000 15.3817
Al 0.0000 0.0000 6.4285
Al 0.0000 0.0000 11.1817
```

Computed properties:
VASP energy	-73.95	eV for the cell shown
DFT formation energy	-0.06	eV per atom
theoretical density	2028	kg/m3
size of the total moment	0.0	μB/f.u.


Record 12
The following is a DFT calculation (SCAN) of a crystal of Ca2Al relaxed with PBEsol.

```
9
Lattice="8.9211 0.0000 0.0000 -4.4606 7.7259 0.0000 0.0000 0.0000 3.9461" Properties=species:S:1:pos:R:3 pbc="T T T"
Ca -1.1991 2.0768 0.0000
Ca -2.7036 4.6828 1.9731
Ca 2.3981 0.0000 0.0000
Ca 1.7570 3.0431 1.9731
Ca 5.4072 0.0000 1.9731
Ca 3.2615 5.6491 0.0000
Al 0.0000 0.0000 1.9731
Al 0.0000 5.1506 0.0000
Al 4.4606 2.5753 0.0000
```

Computed properties:
VASP energy	-82.50	eV for the cell shown
DFT formation energy	-0.14	eV per atom
theoretical density	1962	kg/m3
size of the total moment	0.0	μB/f.u.